The following is a GGA-PBE calculation of a relaxed KTlSn2 crystal, from the Alexandria database.

Output
theoretical density	5.64	g cm⁻³
polymorph energy (0 for the lowest one)	0.1697	eV/atom
VASP energy	-22.2	eV for the cell shown
space group	I-42d (122)
ΔE_f	90	meV/atom

Lattice parameters (Å, degrees): 5.012 5.012 11.816 77.76 77.76 90.00
Fractional coordinates of all 8 atoms:
K 0.250 0.750 0.500
K 0.500 0.500 0.000
Sn 0.875 0.949 0.750
Sn 0.375 0.301 0.750
Sn 0.699 0.125 0.250
Sn 0.051 0.625 0.250
Tl 0.750 0.250 0.500
Tl 0.000 0.000 0.000